[1]
# La3BiIr PBE optimized geometry
data_La3BiIr
_chemical_formula_sum 'La3 Bi1 Ir1'
_cell_length_a 4.2333
_cell_length_b 8.9952
_cell_length_c 8.9952
_cell_angle_alpha 129.96
_cell_angle_beta 90.00
_cell_angle_gamma 90.00
_space_group_name_H-M_alt 'P 1'
_space_group_IT_number 1
loop_
_space_group_symop_operation_xyz
'x,y,z'
loop_
_atom_site_label
_atom_site_type_symbol
_atom_site_fract_x
_atom_site_fract_y
_atom_site_fract_z
_atom_site_occupancy
La1 La 0.0000 0.2429 0.7571 1
La2 La 0.5000 0.6805 0.8048 1
Bi1 Bi 0.5000 0.0987 0.9013 1
Ir1 Ir 0.0000 0.4107 0.5893 1
La3 La 0.5000 0.1952 0.3195 1
# calculated formation energy	-0.7	eV per formula unit

[2]
# Y2AsSe PBE optimized geometry
data_Y2AsSe
_chemical_formula_sum 'Y2 As1 Se1'
_cell_length_a 5.0574
_cell_length_b 5.0574
_cell_length_c 5.0574
_cell_angle_alpha 60.00
_cell_angle_beta 60.00
_cell_angle_gamma 60.00
_space_group_name_H-M_alt 'P 1'
_space_group_IT_number 1
loop_
_space_group_symop_operation_xyz
'x,y,z'
loop_
_atom_site_label
_atom_site_type_symbol
_atom_site_fract_x
_atom_site_fract_y
_atom_site_fract_z
_atom_site_occupancy
Y1 Y 0.0000 0.0000 0.0000 1
As1 As 0.5000 0.5000 0.5000 1
Y2 Y 0.7500 0.7500 0.7500 1
Se1 Se 0.2500 0.2500 0.2500 1
# energy relative to the elements, uncorrected	-8.60	kcal/mol of atoms

[3]
# Ac2InRuO8 PBE optimized geometry
data_Ac2InRuO8
_chemical_formula_sum 'Ac2 In1 Ru1 O8'
_cell_length_a 4.7243
_cell_length_b 5.2705
_cell_length_c 7.4084
_cell_angle_alpha 89.33
_cell_angle_beta 85.25
_cell_angle_gamma 94.24
_space_group_name_H-M_alt 'P 1'
_space_group_IT_number 1
loop_
_space_group_symop_operation_xyz
'x,y,z'
loop_
_atom_site_label
_atom_site_type_symbol
_atom_site_fract_x
_atom_site_fract_y
_atom_site_fract_z
_atom_site_occupancy
In1 In 0.0000 0.0000 0.5000 1
Ru1 Ru 0.0000 0.0000 0.0000 1
Ac1 Ac 0.6364 0.5042 0.2340 1
O1 O 0.7380 0.6770 0.5360 1
O2 O 0.2005 0.9458 0.7563 1
Ac2 Ac 0.3636 0.4958 0.7660 1
O3 O 0.3031 0.2118 0.0566 1
O4 O 0.8438 0.2902 0.8917 1
O5 O 0.6969 0.7882 0.9434 1
O6 O 0.2620 0.3230 0.4640 1
O7 O 0.7995 0.0542 0.2437 1
O8 O 0.1562 0.7098 0.1083 1
# energy relative to the elements, uncorrected	-44.04	kcal/mol of atoms

Spin magnetization: 0.00 0.00 1.05 (μB per cell)